First-principles (PBE-GGA) data for KOsCl2 after structural relaxation, as listed in the Alexandria database.

Summary:
For the total energy, the calculation gives -56.9 eV per cell. The total magnetization comes out at 0.765 μB/atom. The formation energy without anion corrections is 0.447 eV/atom.

Cell and atoms, written as CIF:
```
data_KOsCl2
_cell_length_a 7.014
_cell_length_b 7.014
_cell_length_c 7.014
_cell_angle_alpha 90.00
_cell_angle_beta 90.00
_cell_angle_gamma 90.00
_symmetry_space_group_name_H-M 'F m -3 m'
_symmetry_Int_Tables_number 225
_symmetry_space_group_name_Hall '-F 4 2 3'
loop_
_atom_site_label
_atom_site_fract_x
_atom_site_fract_y
_atom_site_fract_z
K1 0.000 0.000 0.000
Os1 0.000 0.000 0.500
Cl1 0.250 0.250 0.250
```